1.
{"formula": "CeCuBr4", "functional": "PBE", "state": "relaxed", "vol_a3_per_atom": 31.66, "sg": "C2/c (15)", "total_energy_ev_per_atom": -3.979, "e_form_raw_ev_per_atom": -1.192, "lattice": [[4.560, -5.952, 0.000], [4.560, 5.952, 0.000], [-2.762, 0.000, 6.998]], "species": ["Ce", "Ce", "Cu", "Cu", "Br", "Br", "Br", "Br", "Br", "Br", "Br", "Br"], "fractional_positions": [[0.008, 0.992, 0.750], [0.992, 0.008, 0.250], [0.315, 0.685, 0.750], [0.685, 0.315, 0.250], [0.125, 0.730, 0.968], [0.235, 0.329, 0.620], [0.270, 0.875, 0.532], [0.329, 0.235, 0.120], [0.671, 0.765, 0.880], [0.730, 0.125, 0.468], [0.765, 0.671, 0.380], [0.875, 0.270, 0.032]]}

2.
{"formula": "CaAc2Os", "functional": "PBE", "state": "relaxed", "vol_a3_per_atom": 44.50, "sg": "R-3m (166)", "relative_energy_ev_per_atom": 0.179, "total_energy_ev_per_atom": -5.182, "e_form_ev_per_atom": 0.180, "lattice": [[2.128, 1.229, 11.346], [-2.128, 1.229, 11.346], [0.000, -2.457, 11.346]], "species": ["Ca", "Ac", "Ac", "Os"], "fractional_positions": [[0.000, 0.000, 0.000], [0.120, 0.120, 0.120], [0.880, 0.880, 0.880], [0.500, 0.500, 0.500]]}

3.
{"formula": "HoUTe4", "functional": "PBE", "state": "relaxed", "vol_a3_per_atom": 30.15, "sg": "Imm2 (44)", "relative_energy_ev_per_atom": 0.000, "total_energy_ev_per_atom": -5.668, "e_form_raw_ev_per_atom": -0.929, "lattice": [[-2.090, 3.071, 7.046], [2.090, -3.071, 7.046], [2.090, 3.071, -7.046]], "species": ["Ho", "U", "Te", "Te", "Te", "Te"], "fractional_positions": [[0.000, 0.000, 0.000], [0.274, 0.274, 0.000], [0.389, 0.640, 0.749], [0.433, 0.933, 0.500], [0.841, 0.341, 0.500], [0.891, 0.640, 0.251]]}

4.
{"formula": "PmH", "functional": "PBE", "state": "relaxed", "vol_a3_per_atom": 18.92, "sg": "P6_3mc (186)", "relative_energy_ev_per_atom": 0.000, "total_energy_ev_per_atom": -4.471, "lattice": [[3.819, 0.000, 0.000], [-1.909, 3.307, 0.000], [0.000, 0.000, 5.994]], "species": ["Pm", "Pm", "H", "H"], "fractional_positions": [[0.333, 0.667, 0.000], [0.667, 0.333, 0.500], [0.333, 0.667, 0.607], [0.667, 0.333, 0.107]]}

5.
{"formula": "Li3Ag6Au2", "functional": "PBE", "state": "relaxed", "vol_a3_per_atom": 17.03, "sg": "P-1 (2)", "relative_energy_ev_per_atom": 0.000, "total_energy_ev_per_atom": -2.888, "e_form_ev_per_atom": -0.215, "lattice": [[4.098, 0.000, 0.000], [-2.018, 4.494, 0.000], [-2.041, -1.540, 10.172]], "species": ["Li", "Li", "Li", "Ag", "Ag", "Ag", "Ag", "Ag", "Ag", "Au", "Au"], "fractional_positions": [[0.000, 0.000, 0.000], [0.454, 0.553, 0.357], [0.546, 0.447, 0.643], [0.182, 0.814, 0.546], [0.271, 0.723, 0.818], [0.365, 0.641, 0.089], [0.635, 0.359, 0.911], [0.729, 0.277, 0.182], [0.818, 0.186, 0.454], [0.095, 0.912, 0.274], [0.905, 0.088, 0.726]]}

6.
{"formula": "Hf6ZnBi3", "functional": "PBE", "state": "relaxed", "vol_a3_per_atom": 24.62, "sg": "Cmc2_1 (36)", "total_energy_ev_per_atom": -7.214, "e_form_ev_per_atom": 0.050, "lattice": [[5.065, -7.048, 0.000], [5.065, 7.048, 0.000], [0.000, 0.000, 6.897]], "species": ["Hf", "Hf", "Hf", "Hf", "Hf", "Hf", "Hf", "Hf", "Hf", "Hf", "Hf", "Hf", "Zn", "Zn", "Bi", "Bi", "Bi", "Bi", "Bi", "Bi"], "fractional_positions": [[0.026, 0.485, 0.320], [0.150, 0.850, 0.500], [0.250, 0.750, 0.054], [0.252, 0.408, 0.991], [0.408, 0.252, 0.491], [0.485, 0.026, 0.820], [0.515, 0.974, 0.320], [0.592, 0.748, 0.991], [0.748, 0.592, 0.491], [0.750, 0.250, 0.554], [0.850, 0.150, 0.000], [0.974, 0.515, 0.820], [0.321, 0.679, 0.701], [0.679, 0.321, 0.201], [0.086, 0.240, 0.629], [0.240, 0.086, 0.129], [0.412, 0.588, 0.346], [0.588, 0.412, 0.846], [0.760, 0.914, 0.629], [0.914, 0.760, 0.129]]}

7.
{"formula": "Sr2Tl3Cd6", "functional": "PBE", "state": "relaxed", "vol_a3_per_atom": 31.32, "sg": "Cmmm (65)", "total_energy_ev_per_atom": -1.521, "e_form_ev_per_atom": -0.070, "lattice": [[6.011, -6.325, 0.000], [6.011, 6.325, 0.000], [0.000, 0.000, 4.530]], "species": ["Sr", "Sr", "Tl", "Tl", "Tl", "Cd", "Cd", "Cd", "Cd", "Cd", "Cd"], "fractional_positions": [[0.204, 0.796, 0.000], [0.796, 0.204, 0.000], [0.283, 0.283, 0.000], [0.500, 0.500, 0.500], [0.717, 0.717, 0.000], [0.115, 0.115, 0.500], [0.153, 0.475, 0.500], [0.475, 0.153, 0.500], [0.525, 0.847, 0.500], [0.847, 0.525, 0.500], [0.885, 0.885, 0.500]]}

8.
{"formula": "GaBRh2", "functional": "PBE", "state": "relaxed", "vol_a3_per_atom": 13.00, "sg": "R-3m (166)", "total_energy_ev_per_atom": -6.541, "e_form_ev_per_atom": -0.440, "lattice": [[1.536, 0.887, 6.359], [-1.536, 0.887, 6.359], [0.000, -1.774, 6.359]], "species": ["Ga", "B", "Rh", "Rh"], "fractional_positions": [[0.000, 0.000, 0.000], [0.500, 0.500, 0.500], [0.229, 0.229, 0.229], [0.771, 0.771, 0.771]]}

9.
{"formula": "Zn2RhW", "functional": "PBE", "state": "relaxed", "vol_a3_per_atom": 14.73, "sg": "Cmmm (65)", "relative_energy_ev_per_atom": 0.236, "total_energy_ev_per_atom": -5.580, "e_form_ev_per_atom": 0.133, "lattice": [[2.643, -4.090, 0.000], [2.643, 4.090, 0.000], [0.000, 0.000, 2.725]], "species": ["Zn", "Zn", "Rh", "W"], "fractional_positions": [[0.000, 0.500, 0.000], [0.500, 0.000, 0.000], [0.000, 0.000, 0.500], [0.500, 0.500, 0.500]]}

10.
{"formula": "Y2HoZr", "functional": "PBE", "state": "relaxed", "vol_a3_per_atom": 29.16, "sg": "R-3m (166)", "relative_energy_ev_per_atom": 0.009, "total_energy_ev_per_atom": -6.421, "e_form_ev_per_atom": 0.092, "lattice": [[1.725, 0.996, 11.319], [-1.725, 0.996, 11.319], [0.000, -1.991, 11.319]], "species": ["Y", "Y", "Ho", "Zr"], "fractional_positions": [[0.245, 0.245, 0.245], [0.755, 0.755, 0.755], [0.000, 0.000, 0.000], [0.500, 0.500, 0.500]]}

11.
{"formula": "Ac2PrCuO5", "functional": "PBE", "state": "relaxed", "vol_a3_per_atom": 15.83, "sg": "P4/mbm (127)", "total_energy_ev_per_atom": -7.087, "e_form_raw_ev_per_atom": -2.433, "lattice": [[6.900, 0.000, 0.000], [0.000, 6.900, 0.000], [0.000, 0.000, 5.987]], "species": ["Ac", "Ac", "Ac", "Ac", "Pr", "Pr", "Cu", "Cu", "O", "O", "O", "O", "O", "O", "O", "O", "O", "O"], "fractional_positions": [[0.164, 0.336, 0.000], [0.336, 0.836, 0.000], [0.664, 0.164, 0.000], [0.836, 0.664, 0.000], [0.000, 0.000, 0.500], [0.500, 0.500, 0.500], [0.000, 0.500, 0.500], [0.500, 0.000, 0.500], [0.000, 0.000, 0.000], [0.161, 0.661, 0.274], [0.161, 0.661, 0.726], [0.339, 0.161, 0.274], [0.339, 0.161, 0.726], [0.500, 0.500, 0.000], [0.661, 0.839, 0.274], [0.661, 0.839, 0.726], [0.839, 0.339, 0.274], [0.839, 0.339, 0.726]]}

12.
{"formula": "TbPuPS", "functional": "PBE", "state": "relaxed", "vol_a3_per_atom": 22.38, "sg": "R3m (160)", "total_energy_ev_per_atom": -8.817, "e_form_raw_ev_per_atom": -1.692, "lattice": [[2.000, 1.155, 6.459], [-2.000, 1.155, 6.459], [0.000, -2.309, 6.459]], "species": ["Tb", "Pu", "P", "S"], "fractional_positions": [[0.000, 0.000, 0.000], [0.498, 0.498, 0.498], [0.750, 0.750, 0.750], [0.248, 0.248, 0.248]]}

13.
{"formula": "Ac3InNi2", "functional": "PBE", "state": "relaxed", "vol_a3_per_atom": 31.00, "sg": "R-3c (167)", "total_energy_ev_per_atom": -4.601, "e_form_ev_per_atom": -0.163, "lattice": [[4.115, 2.376, 6.342], [-4.115, 2.376, 6.342], [0.000, -4.752, 6.342]], "species": ["Ac", "Ac", "Ac", "Ac", "Ac", "Ac", "In", "In", "Ni", "Ni", "Ni", "Ni"], "fractional_positions": [[0.030, 0.750, 0.470], [0.250, 0.530, 0.970], [0.470, 0.030, 0.750], [0.530, 0.970, 0.250], [0.750, 0.470, 0.030], [0.970, 0.250, 0.530], [0.000, 0.000, 0.000], [0.500, 0.500, 0.500], [0.141, 0.141, 0.141], [0.359, 0.359, 0.359], [0.641, 0.641, 0.641], [0.859, 0.859, 0.859]]}

14.
{"formula": "MgSc2Os", "functional": "PBE", "state": "relaxed", "vol_a3_per_atom": 18.53, "sg": "I-4m2 (119)", "total_energy_ev_per_atom": -6.439, "e_form_ev_per_atom": -0.067, "lattice": [[-2.144, 2.144, 4.029], [2.144, -2.144, 4.029], [2.144, 2.144, -4.029]], "species": ["Mg", "Sc", "Sc", "Os"], "fractional_positions": [[0.000, 0.000, 0.000], [0.500, 0.500, 0.000], [0.750, 0.250, 0.500], [0.250, 0.750, 0.500]]}

15.
{"formula": "CsBrO2", "functional": "PBE", "state": "relaxed", "vol_a3_per_atom": 24.08, "sg": "I-42d (122)", "relative_energy_ev_per_atom": 0.188, "total_energy_ev_per_atom": -3.321, "e_form_raw_ev_per_atom": -0.210, "lattice": [[-2.824, 2.824, 6.042], [2.824, -2.824, 6.042], [2.824, 2.824, -6.042]], "species": ["Cs", "Cs", "Br", "Br", "O", "O", "O", "O"], "fractional_positions": [[0.000, 0.000, 0.000], [0.750, 0.250, 0.500], [0.250, 0.750, 0.500], [0.500, 0.500, 0.000], [0.298, 0.625, 0.173], [0.375, 0.548, 0.673], [0.452, 0.125, 0.827], [0.875, 0.702, 0.327]]}

16.
{"formula": "Tb3Zn2Pt3", "functional": "PBE", "state": "relaxed", "vol_a3_per_atom": 21.13, "sg": "P6_3/mcm (193)", "total_energy_ev_per_atom": -5.243, "e_form_ev_per_atom": -0.923, "lattice": [[8.329, 0.000, 0.000], [-4.164, 7.213, 0.000], [0.000, 0.000, 5.628]], "species": ["Tb", "Tb", "Tb", "Tb", "Tb", "Tb", "Zn", "Zn", "Zn", "Zn", "Pt", "Pt", "Pt", "Pt", "Pt", "Pt"], "fractional_positions": [[0.000, 0.278, 0.250], [0.000, 0.722, 0.750], [0.278, 0.000, 0.250], [0.278, 0.278, 0.750], [0.722, 0.000, 0.750], [0.722, 0.722, 0.250], [0.333, 0.667, 0.000], [0.333, 0.667, 0.500], [0.667, 0.333, 0.000], [0.667, 0.333, 0.500], [0.000, 0.385, 0.750], [0.000, 0.615, 0.250], [0.385, 0.000, 0.750], [0.385, 0.385, 0.250], [0.615, 0.000, 0.250], [0.615, 0.615, 0.750]]}

17.
{"formula": "NiPbI2N", "functional": "PBE", "state": "relaxed", "vol_a3_per_atom": 32.36, "sg": "P4/mmm (123)", "relative_energy_ev_per_atom": 0.912, "total_energy_ev_per_atom": -2.895, "e_form_raw_ev_per_atom": 1.288, "lattice": [[6.218, 0.000, 0.000], [0.000, 6.218, 0.000], [0.000, 0.000, 4.184]], "species": ["Ni", "Pb", "I", "I", "N"], "fractional_positions": [[0.000, 0.000, 0.000], [0.500, 0.500, 0.500], [0.000, 0.500, 0.500], [0.500, 0.000, 0.500], [0.500, 0.500, 0.000]]}

18.
{"formula": "AsPdPt", "functional": "PBE", "state": "relaxed", "vol_a3_per_atom": 17.50, "sg": "F-43m (216)", "total_energy_ev_per_atom": -5.514, "e_form_ev_per_atom": -0.219, "lattice": [[0.000, 2.972, 2.972], [2.972, 0.000, 2.972], [2.972, 2.972, 0.000]], "species": ["As", "Pd", "Pt"], "fractional_positions": [[0.000, 0.000, 0.000], [0.250, 0.250, 0.250], [0.750, 0.750, 0.750]]}

19.
{"formula": "AgIr3", "functional": "PBE", "state": "relaxed", "vol_a3_per_atom": 15.23, "sg": "Pmmm (47)", "total_energy_ev_per_atom": -7.042, "e_form_ev_per_atom": 0.317, "lattice": [[2.762, 0.000, 0.000], [0.000, 3.856, 0.000], [0.000, 0.000, 5.722]], "species": ["Ag", "Ir", "Ir", "Ir"], "fractional_positions": [[0.000, 0.000, 0.000], [0.000, 0.000, 0.500], [0.500, 0.500, 0.267], [0.500, 0.500, 0.733]]}

20.
{"formula": "IrCl", "functional": "PBE", "state": "relaxed", "vol_a3_per_atom": 23.81, "sg": "P4/nmm (129)", "relative_energy_ev_per_atom": 0.745, "total_energy_ev_per_atom": -4.474, "e_form_raw_ev_per_atom": 0.879, "lattice": [[3.584, 0.000, 0.000], [0.000, 3.584, 0.000], [0.000, 0.000, 7.418]], "species": ["Ir", "Ir", "Cl", "Cl"], "fractional_positions": [[0.250, 0.750, 0.000], [0.750, 0.250, 0.000], [0.250, 0.250, 0.284], [0.750, 0.750, 0.716]]}